Record 1
Entry from Alexandria via LeMat-Bulk: a relaxed structure of Ba3CrSn2O9 (PBE with a Hubbard U).

Computed properties:
VASP energy = -0.23972 Ha/atom
theoretical density = 6690 kg/m³
magnetic moment = 2.0 Bohr magnetons per cell

Geometry as CIF:
```
data_Ba3CrSn2O9
_chemical_formula_sum 'Ba3 Cr1 Sn2 O9'
_space_group_name_H-M_alt 'P 1'
_space_group_IT_number 1
_space_group_name_Hall 'P 1'
_cell_length_a 5.826
_cell_length_b 5.826
_cell_length_c 7.138
_cell_angle_alpha 90.00
_cell_angle_beta 90.00
_cell_angle_gamma 120.00
loop_
_atom_site_label
_atom_site_fract_x
_atom_site_fract_y
_atom_site_fract_z
Ba1 0.333 0.667 0.664
Ba2 0.000 0.000 0.000
Ba3 0.667 0.333 0.336
Cr1 0.000 0.000 0.500
Sn1 0.333 0.667 0.172
Sn2 0.667 0.333 0.828
O1 0.839 0.161 0.661
O2 0.839 0.678 0.661
O3 0.322 0.161 0.661
O4 0.678 0.839 0.339
O5 0.161 0.322 0.339
O6 0.161 0.839 0.339
O7 0.500 0.000 0.000
O8 0.000 0.500 0.000
O9 0.500 0.500 0.000
```

Record 2
Entry from Alexandria via LeMat-Bulk: a relaxed structure of BaSrCr4O12 (PBE with a Hubbard U).

Computed properties:
VASP energy = -0.24422 Ha/atom
theoretical density = 4603 kg/m³
magnetic moment = 4.0 Bohr magnetons per cell

Geometry as CIF:
```
data_BaSrCr4O12
_chemical_formula_sum 'Ba1 Sr1 Cr4 O12'
_space_group_name_H-M_alt 'P 1'
_space_group_IT_number 1
_space_group_name_Hall 'P 1'
_cell_length_a 5.410
_cell_length_b 5.410
_cell_length_c 7.702
_cell_angle_alpha 90.00
_cell_angle_beta 90.00
_cell_angle_gamma 90.00
loop_
_atom_site_label
_atom_site_fract_x
_atom_site_fract_y
_atom_site_fract_z
Ba1 0.500 0.500 0.500
Sr1 0.000 0.000 0.000
Cr1 0.000 0.500 0.753
Cr2 0.000 0.500 0.247
Cr3 0.500 0.000 0.753
Cr4 0.500 0.000 0.247
O1 0.248 0.248 0.755
O2 0.248 0.248 0.245
O3 0.752 0.752 0.245
O4 0.752 0.752 0.755
O5 0.752 0.248 0.755
O6 0.752 0.248 0.245
O7 0.248 0.752 0.245
O8 0.248 0.752 0.755
O9 0.000 0.500 0.500
O10 0.000 0.500 0.000
O11 0.500 0.000 0.500
O12 0.500 0.000 0.000
```

Record 3
Entry from Alexandria via LeMat-Bulk: a relaxed structure of BaSrCr2O8 (PBE with a Hubbard U).

Computed properties:
VASP energy = -0.25113 Ha/atom
theoretical density = 3923 kg/m³
magnetic moment = 0.0 Bohr magnetons per cell

Geometry as CIF:
```
data_BaSrCr2O8
_chemical_formula_sum 'Ba1 Sr1 Cr2 O8'
_space_group_name_H-M_alt 'P 1'
_space_group_IT_number 1
_space_group_name_Hall 'P 1'
_cell_length_a 5.400
_cell_length_b 5.400
_cell_length_c 8.270
_cell_angle_alpha 70.94
_cell_angle_beta 70.94
_cell_angle_gamma 60.00
loop_
_atom_site_label
_atom_site_fract_x
_atom_site_fract_y
_atom_site_fract_z
Ba1 0.500 0.500 0.500
Sr1 0.000 0.000 0.000
Cr1 0.245 0.245 0.265
Cr2 0.755 0.755 0.735
O1 0.173 0.173 0.482
O2 0.541 0.304 0.198
O3 0.827 0.827 0.518
O4 0.958 0.541 0.198
O5 0.042 0.459 0.802
O6 0.304 0.958 0.198
O7 0.696 0.042 0.802
O8 0.459 0.696 0.802
```

Record 4
Entry from Alexandria via LeMat-Bulk: a relaxed structure of BaSrCrO4 (PBE with a Hubbard U).

Computed properties:
VASP energy = -0.24829 Ha/atom
theoretical density = 4551 kg/m³
magnetic moment = 4.0 Bohr magnetons per cell

Geometry as CIF:
```
data_BaSrCrO4
_chemical_formula_sum 'Ba2 Sr2 Cr2 O8'
_space_group_name_H-M_alt 'P 1'
_space_group_IT_number 1
_space_group_name_Hall 'P 1'
_cell_length_a 5.997
_cell_length_b 5.991
_cell_length_c 7.307
_cell_angle_alpha 90.00
_cell_angle_beta 108.60
_cell_angle_gamma 90.00
loop_
_atom_site_label
_atom_site_fract_x
_atom_site_fract_y
_atom_site_fract_z
Ba1 0.715 0.750 0.932
Ba2 0.285 0.250 0.068
Sr1 0.807 0.750 0.462
Sr2 0.193 0.250 0.538
Cr1 0.255 0.750 0.315
Cr2 0.745 0.250 0.685
O1 0.954 0.479 0.736
O2 0.046 0.979 0.264
O3 0.046 0.521 0.264
O4 0.954 0.021 0.736
O5 0.440 0.750 0.162
O6 0.560 0.250 0.838
O7 0.426 0.750 0.563
O8 0.574 0.250 0.437
```

Record 5
Entry from Alexandria via LeMat-Bulk: a relaxed structure of BaSrTbCrO6 (PBE with a Hubbard U).

Computed properties:
VASP energy = -0.25760 Ha/atom
theoretical density = 6227 kg/m³
magnetic moment = 1.0 Bohr magnetons per cell

Geometry as CIF:
```
data_BaSrTbCrO6
_chemical_formula_sum 'Ba1 Sr1 Tb1 Cr1 O6'
_space_group_name_H-M_alt 'P 1'
_space_group_IT_number 1
_space_group_name_Hall 'P 1'
_cell_length_a 5.854
_cell_length_b 5.854
_cell_length_c 5.854
_cell_angle_alpha 60.00
_cell_angle_beta 60.00
_cell_angle_gamma 60.00
loop_
_atom_site_label
_atom_site_fract_x
_atom_site_fract_y
_atom_site_fract_z
Ba1 0.750 0.750 0.750
Sr1 0.250 0.250 0.250
Tb1 0.500 0.500 0.500
Cr1 0.000 0.000 0.000
O1 0.230 0.770 0.230
O2 0.770 0.230 0.770
O3 0.230 0.770 0.770
O4 0.770 0.230 0.230
O5 0.230 0.230 0.770
O6 0.770 0.770 0.230
```

Record 6
Entry from Alexandria via LeMat-Bulk: a relaxed structure of BaSrYCrO6 (PBE with a Hubbard U).

Computed properties:
VASP energy = -0.26430 Ha/atom
theoretical density = 5437 kg/m³
magnetic moment = 1.0 Bohr magnetons per cell

Geometry as CIF:
```
data_BaSrYCrO6
_chemical_formula_sum 'Ba1 Sr1 Y1 Cr1 O6'
_space_group_name_H-M_alt 'P 1'
_space_group_IT_number 1
_space_group_name_Hall 'P 1'
_cell_length_a 5.843
_cell_length_b 5.843
_cell_length_c 5.843
_cell_angle_alpha 60.00
_cell_angle_beta 60.00
_cell_angle_gamma 60.00
loop_
_atom_site_label
_atom_site_fract_x
_atom_site_fract_y
_atom_site_fract_z
Ba1 0.250 0.250 0.250
Sr1 0.750 0.750 0.750
Y1 0.500 0.500 0.500
Cr1 0.000 0.000 0.000
O1 0.231 0.769 0.231
O2 0.769 0.231 0.769
O3 0.231 0.769 0.769
O4 0.769 0.231 0.231
O5 0.231 0.231 0.769
O6 0.769 0.769 0.231
```

Record 7
Entry from Alexandria via LeMat-Bulk: a relaxed structure of BaTaCr2O8 (PBE with a Hubbard U).

Computed properties:
VASP energy = -0.28642 Ha/atom
theoretical density = 4576 kg/m³
magnetic moment = 3.0 Bohr magnetons per cell

Geometry as CIF:
```
data_BaTaCr2O8
_chemical_formula_sum 'Ba1 Ta1 Cr2 O8'
_space_group_name_H-M_alt 'P 1'
_space_group_IT_number 1
_space_group_name_Hall 'P 1'
_cell_length_a 5.332
_cell_length_b 5.332
_cell_length_c 7.754
_cell_angle_alpha 87.40
_cell_angle_beta 87.40
_cell_angle_gamma 65.09
loop_
_atom_site_label
_atom_site_fract_x
_atom_site_fract_y
_atom_site_fract_z
Ba1 0.000 0.000 0.500
Ta1 0.000 0.000 0.000
Cr1 0.366 0.366 0.779
Cr2 0.634 0.634 0.221
O1 0.269 0.790 0.185
O2 0.788 0.788 0.069
O3 0.790 0.269 0.185
O4 0.731 0.210 0.815
O5 0.212 0.212 0.931
O6 0.210 0.731 0.815
O7 0.692 0.692 0.423
O8 0.308 0.308 0.577
```

Record 8
Entry from Alexandria via LeMat-Bulk: a relaxed structure of Ba2TaCrO6 (PBE with a Hubbard U).

Computed properties:
VASP energy = -0.29584 Ha/atom
theoretical density = 7142 kg/m³
magnetic moment = 12.0 Bohr magnetons per cell

Geometry as CIF:
```
data_Ba2TaCrO6
_chemical_formula_sum 'Ba8 Ta4 Cr4 O24'
_space_group_name_H-M_alt 'P 1'
_space_group_IT_number 1
_space_group_name_Hall 'P 1'
_cell_length_a 5.819
_cell_length_b 5.819
_cell_length_c 19.144
_cell_angle_alpha 90.00
_cell_angle_beta 90.00
_cell_angle_gamma 120.00
loop_
_atom_site_label
_atom_site_fract_x
_atom_site_fract_y
_atom_site_fract_z
O1 0.171 0.829 0.880
O2 0.171 0.341 0.880
O3 0.659 0.829 0.880
O4 0.341 0.171 0.380
O5 0.829 0.659 0.120
O6 0.829 0.171 0.380
O7 0.829 0.659 0.380
O8 0.171 0.829 0.620
O9 0.659 0.829 0.620
O10 0.341 0.171 0.120
O11 0.829 0.171 0.120
O12 0.171 0.341 0.620
O13 0.850 0.699 0.750
O14 0.150 0.850 0.250
O15 0.699 0.850 0.250
O16 0.301 0.150 0.750
O17 0.500 0.000 0.000
O18 0.500 0.500 0.500
O19 0.000 0.500 0.500
O20 0.000 0.500 0.000
O21 0.850 0.150 0.750
O22 0.500 0.000 0.500
O23 0.150 0.301 0.250
O24 0.500 0.500 0.000
Cr1 0.000 0.000 0.819
Cr2 0.000 0.000 0.181
Cr3 0.000 0.000 0.681
Cr4 0.000 0.000 0.319
Ba1 0.000 0.000 0.000
Ba2 0.667 0.333 0.250
Ba3 0.333 0.667 0.750
Ba4 0.000 0.000 0.500
Ba5 0.333 0.667 0.142
Ba6 0.667 0.333 0.858
Ba7 0.667 0.333 0.642
Ba8 0.333 0.667 0.358
Ta1 0.333 0.667 0.563
Ta2 0.667 0.333 0.063
Ta3 0.667 0.333 0.437
Ta4 0.333 0.667 0.937
```

What did the sixth record say?
Entry from Alexandria via LeMat-Bulk: a relaxed structure of BaSrYCrO6 (PBE with a Hubbard U).

Computed properties:
VASP energy = -0.26430 Ha/atom
theoretical density = 5437 kg/m³
magnetic moment = 1.0 Bohr magnetons per cell

Geometry as CIF:
```
data_BaSrYCrO6
_chemical_formula_sum 'Ba1 Sr1 Y1 Cr1 O6'
_space_group_name_H-M_alt 'P 1'
_space_group_IT_number 1
_space_group_name_Hall 'P 1'
_cell_length_a 5.843
_cell_length_b 5.843
_cell_length_c 5.843
_cell_angle_alpha 60.00
_cell_angle_beta 60.00
_cell_angle_gamma 60.00
loop_
_atom_site_label
_atom_site_fract_x
_atom_site_fract_y
_atom_site_fract_z
Ba1 0.250 0.250 0.250
Sr1 0.750 0.750 0.750
Y1 0.500 0.500 0.500
Cr1 0.000 0.000 0.000
O1 0.231 0.769 0.231
O2 0.769 0.231 0.769
O3 0.231 0.769 0.769
O4 0.769 0.231 0.231
O5 0.231 0.231 0.769
O6 0.769 0.769 0.231
```

The highest magnetic moment belongs to which entry? Ba2TaCrO6